# V4OsW, optimized geometry, DFT PBE
data_V4OsW
_space_group_name_H-M_alt 'P 1'
_space_group_IT_number 1
_space_group_name_Hall 'P 1'
_cell_length_a 4.136
_cell_length_b 4.136
_cell_length_c 5.940
_cell_angle_alpha 89.98
_cell_angle_beta 89.99
_cell_angle_gamma 90.00
loop_
_atom_site_label
_atom_site_fract_x
_atom_site_fract_y
_atom_site_fract_z
W1 0.501 0.497 0.998
V1 0.501 0.997 0.252
V2 0.001 0.497 0.745
V3 0.501 0.998 0.745
V4 0.001 0.497 0.252
Os1 0.001 0.997 0.498
# * energy of formation: 570 meV per atom
# * DFT total energy: -57.24 eV/cell
# * crystal system: tetragonal
# * D(E_F): 1.2210 states/eV per atom


# V6OsW2, optimized geometry, DFT PBE
data_V6OsW2
_space_group_name_H-M_alt 'P 1'
_space_group_IT_number 1
_space_group_name_Hall 'P 1'
_cell_length_a 4.133
_cell_length_b 5.940
_cell_length_c 7.234
_cell_angle_alpha 114.24
_cell_angle_beta 106.80
_cell_angle_gamma 90.00
loop_
_atom_site_label
_atom_site_fract_x
_atom_site_fract_y
_atom_site_fract_z
V1 0.835 0.588 0.670
V2 0.835 0.082 0.670
V3 0.165 0.918 0.330
V4 0.500 0.248 0.000
V5 0.165 0.412 0.330
V6 0.500 0.752 0.000
W1 0.333 0.334 0.668
W2 0.667 0.666 0.332
Os1 0.000 0.000 0.000
# * energy of formation: 669 meV per atom
# * DFT total energy: -85.83 eV/cell
# * crystal system: monoclinic
# * D(E_F): 1.4631 states/eV per atom


# VOsW, optimized geometry, DFT PBE
data_VOsW
_space_group_name_H-M_alt 'P 1'
_space_group_IT_number 1
_space_group_name_Hall 'P 1'
_cell_length_a 3.070
_cell_length_b 3.070
_cell_length_c 9.352
_cell_angle_alpha 90.00
_cell_angle_beta 90.00
_cell_angle_gamma 90.00
loop_
_atom_site_label
_atom_site_fract_x
_atom_site_fract_y
_atom_site_fract_z
V1 0.372 0.791 0.011
V2 0.872 0.291 0.501
W1 0.872 0.291 0.840
W2 0.372 0.791 0.672
Os1 0.872 0.291 0.158
Os2 0.373 0.791 0.354
# * energy of formation: -47 meV per atom
# * DFT total energy: -66.88 eV/cell
# * crystal system: tetragonal
# * D(E_F): 0.6302 states/eV per atom


# VOsW, optimized geometry, DFT PBE
data_VOsW
_space_group_name_H-M_alt 'P 1'
_space_group_IT_number 1
_space_group_name_Hall 'P 1'
_cell_length_a 3.068
_cell_length_b 3.068
_cell_length_c 5.138
_cell_angle_alpha 107.37
_cell_angle_beta 107.37
_cell_angle_gamma 90.00
loop_
_atom_site_label
_atom_site_fract_x
_atom_site_fract_y
_atom_site_fract_z
W1 0.623 0.623 0.245
V1 0.282 0.282 0.563
Os1 0.946 0.946 0.891
# * energy of formation: -73 meV per atom
# * DFT total energy: -33.52 eV/cell
# * crystal system: tetragonal
# * D(E_F): 0.7458 states/eV per atom


# V2OsW, optimized geometry, DFT PBE
data_V2OsW
_space_group_name_H-M_alt 'P 1'
_space_group_IT_number 1
_space_group_name_Hall 'P 1'
_cell_length_a 3.054
_cell_length_b 4.311
_cell_length_c 4.311
_cell_angle_alpha 90.00
_cell_angle_beta 90.00
_cell_angle_gamma 90.00
loop_
_atom_site_label
_atom_site_fract_x
_atom_site_fract_y
_atom_site_fract_z
Os1 0.500 0.500 0.500
V1 0.000 0.000 0.500
V2 0.000 0.500 0.000
W1 0.500 0.000 0.000
# * energy of formation: -253 meV per atom
# * DFT total energy: -43.43 eV/cell
# * crystal system: tetragonal
# * D(E_F): 0.6238 states/eV per atom


# V2OsW2, optimized geometry, DFT PBE
data_V2OsW2
_space_group_name_H-M_alt 'P 1'
_space_group_IT_number 1
_space_group_name_Hall 'P 1'
_cell_length_a 4.369
_cell_length_b 4.357
_cell_length_c 8.028
_cell_angle_alpha 90.00
_cell_angle_beta 105.79
_cell_angle_gamma 90.00
loop_
_atom_site_label
_atom_site_fract_x
_atom_site_fract_y
_atom_site_fract_z
W1 0.052 0.750 0.105
W2 0.446 0.750 0.892
W3 0.948 0.250 0.895
W4 0.554 0.250 0.108
V1 0.847 0.750 0.694
V2 0.750 0.250 0.500
V3 0.153 0.250 0.306
V4 0.250 0.750 0.500
Os1 0.656 0.750 0.312
Os2 0.344 0.250 0.688
# * energy of formation: -149 meV per atom
# * DFT total energy: -112.24 eV/cell
# * crystal system: orthorhombic
# * D(E_F): 0.4771 states/eV per atom


# V4OsW, optimized geometry, DFT PBE
data_V4OsW
_space_group_name_H-M_alt 'P 1'
_space_group_IT_number 1
_space_group_name_Hall 'P 1'
_cell_length_a 4.900
_cell_length_b 4.900
_cell_length_c 4.900
_cell_angle_alpha 60.00
_cell_angle_beta 60.00
_cell_angle_gamma 60.00
loop_
_atom_site_label
_atom_site_fract_x
_atom_site_fract_y
_atom_site_fract_z
V1 0.625 0.625 0.125
V2 0.625 0.125 0.625
V3 0.625 0.625 0.625
V4 0.125 0.625 0.625
W1 0.250 0.250 0.250
Os1 0.000 0.000 0.000
# * energy of formation: 8 meV per atom
# * DFT total energy: -60.61 eV/cell
# * crystal system: cubic
# * D(E_F): 1.7157 states/eV per atom


# VOs6W2, optimized geometry, DFT PBE
data_VOs6W2
_space_group_name_H-M_alt 'P 1'
_space_group_IT_number 1
_space_group_name_Hall 'P 1'
_cell_length_a 2.781
_cell_length_b 7.912
_cell_length_c 7.912
_cell_angle_alpha 53.52
_cell_angle_beta 79.91
_cell_angle_gamma 79.91
loop_
_atom_site_label
_atom_site_fract_x
_atom_site_fract_y
_atom_site_fract_z
W1 0.862 0.638 0.638
W2 0.138 0.362 0.362
Os1 0.322 0.999 0.358
Os2 0.678 0.001 0.642
Os3 0.678 0.642 0.001
Os4 0.322 0.358 0.999
Os5 0.500 0.308 0.692
Os6 0.500 0.692 0.308
V1 0.000 0.000 0.000
# * energy of formation: 170 meV per atom
# * DFT total energy: -100.87 eV/cell
# * crystal system: orthorhombic
# * D(E_F): 0.7094 states/eV per atom


# V2OsW, optimized geometry, DFT PBE
data_V2OsW
_space_group_name_H-M_alt 'P 1'
_space_group_IT_number 1
_space_group_name_Hall 'P 1'
_cell_length_a 5.623
_cell_length_b 5.623
_cell_length_c 5.623
_cell_angle_alpha 57.19
_cell_angle_beta 151.77
_cell_angle_gamma 131.36
loop_
_atom_site_label
_atom_site_fract_x
_atom_site_fract_y
_atom_site_fract_z
Os1 0.000 0.500 0.500
V1 0.000 0.738 0.738
V2 0.000 0.262 0.262
W1 0.000 0.000 0.000
# * energy of formation: 646 meV per atom
# * DFT total energy: -39.84 eV/cell
# * crystal system: orthorhombic
# * D(E_F): 1.1225 states/eV per atom


# ZrV2OsW, optimized geometry, DFT PBE
data_ZrV2OsW
_space_group_name_H-M_alt 'P 1'
_space_group_IT_number 1
_space_group_name_Hall 'P 1'
_cell_length_a 4.392
_cell_length_b 4.820
_cell_length_c 4.392
_cell_angle_alpha 90.00
_cell_angle_beta 90.00
_cell_angle_gamma 90.00
loop_
_atom_site_label
_atom_site_fract_x
_atom_site_fract_y
_atom_site_fract_z
V1 0.500 0.000 0.000
V2 0.000 0.000 0.500
Os1 0.500 0.500 0.500
Zr1 0.000 0.000 0.000
W1 0.000 0.500 0.000
# * energy of formation: 2273 meV per atom
# * DFT total energy: -39.60 eV/cell
# * crystal system: tetragonal
# * D(E_F): 1.7728 states/eV per atom


# YV2Os, optimized geometry, DFT PBE
data_YV2Os
_space_group_name_H-M_alt 'P 1'
_space_group_IT_number 1
_space_group_name_Hall 'P 1'
_cell_length_a 4.220
_cell_length_b 4.220
_cell_length_c 5.636
_cell_angle_alpha 68.01
_cell_angle_beta 68.01
_cell_angle_gamma 60.00
loop_
_atom_site_label
_atom_site_fract_x
_atom_site_fract_y
_atom_site_fract_z
V1 0.700 0.700 0.899
V2 0.300 0.300 0.101
Os1 0.000 0.000 0.000
Y1 0.500 0.500 0.500
# * energy of formation: 143 meV per atom
# * DFT total energy: -35.36 eV/cell
# * crystal system: trigonal
# * D(E_F): 1.4197 states/eV per atom


# YV2Os2, optimized geometry, DFT PBE
data_YV2Os2
_space_group_name_H-M_alt 'P 1'
_space_group_IT_number 1
_space_group_name_Hall 'P 1'
_cell_length_a 4.262
_cell_length_b 4.262
_cell_length_c 5.769
_cell_angle_alpha 68.32
_cell_angle_beta 68.32
_cell_angle_gamma 90.00
loop_
_atom_site_label
_atom_site_fract_x
_atom_site_fract_y
_atom_site_fract_z
V1 0.625 0.625 0.750
V2 0.375 0.375 0.250
Y1 0.000 0.000 0.000
Os1 0.750 0.250 0.500
Os2 0.250 0.750 0.500
# * energy of formation: -43 meV per atom
# * DFT total energy: -47.38 eV/cell
# * crystal system: tetragonal
# * D(E_F): 0.9143 states/eV per atom


# YV2Os, optimized geometry, DFT PBE
data_YV2Os
_space_group_name_H-M_alt 'P 1'
_space_group_IT_number 1
_space_group_name_Hall 'P 1'
_cell_length_a 7.367
_cell_length_b 7.367
_cell_length_c 5.932
_cell_angle_alpha 51.62
_cell_angle_beta 51.62
_cell_angle_gamma 90.00
loop_
_atom_site_label
_atom_site_fract_x
_atom_site_fract_y
_atom_site_fract_z
Y1 0.250 0.750 0.500
Y2 0.500 0.500 0.000
V1 0.375 0.314 0.750
V2 0.875 0.936 0.750
V3 0.686 0.125 0.250
V4 0.064 0.625 0.250
Os1 0.000 0.000 0.000
Os2 0.750 0.250 0.500
# * energy of formation: 441 meV per atom
# * DFT total energy: -68.34 eV/cell
# * crystal system: tetragonal
# * D(E_F): 1.3196 states/eV per atom